No. 1
The following is a DFT calculation (PBE-GGA) of a geometry-optimized BeAgBi structure.

Cell and atoms, written as POSCAR:
```
BeAgBi
1.0
4.1025 0.0000 0.0000
-2.0513 3.5529 0.0000
0.0000 0.0000 9.6346
Be Ag Bi
2 2 2
Direct
0.0000 0.0000 0.2500
0.0000 0.0000 0.7500
0.3333 0.6667 0.2500
0.6667 0.3333 0.7500
0.0000 0.0000 0.0000
0.0000 0.0000 0.5000
```

Values from the calculation:
E_form: 15.2 kcal/mol of atoms
symmetry: No. 194

---

No. 2
The following is a DFT calculation (PBE-GGA) of a geometry-optimized BeAgBi structure.

Cell and atoms, written as POSCAR:
```
BeAgBi
1.0
5.1165 0.0000 0.0000
0.0000 4.0210 0.0000
-1.0763 0.0000 6.3684
Be Ag Bi
2 2 2
Direct
0.0418 0.2500 0.4131
0.9582 0.7500 0.5869
0.3410 0.7500 0.4036
0.6590 0.2500 0.5964
0.2056 0.2500 0.8293
0.7944 0.7500 0.1707
```

Values from the calculation:
E_form: 6.1 kcal/mol of atoms
symmetry: No. 11

---

No. 3
The following is a DFT calculation (PBE-GGA) of a geometry-optimized BeAgBi structure.

Cell and atoms, written as POSCAR:
```
BeAgBi
1.0
3.8684 0.0000 0.0000
-1.9306 3.3531 0.0000
-0.0381 -2.1667 9.6706
Be Ag Bi
2 2 2
Direct
0.0000 0.0000 0.0000
0.3331 0.6664 0.9985
0.6245 0.2526 0.8754
0.9005 0.8076 0.7028
0.5009 0.0122 0.5034
0.7277 0.4506 0.1796
```

Values from the calculation:
E_form: 5.8 kcal/mol of atoms
symmetry: No. 1

---

No. 4
The following is a DFT calculation (PBE-GGA) of a geometry-optimized BeAgBi structure.

Cell and atoms, written as POSCAR:
```
BeAgBi
1.0
3.1713 0.0000 0.0000
0.0000 9.7984 0.0000
-0.0003 0.0000 3.8876
Be Ag Bi
2 2 2
Direct
0.0000 0.0667 0.0000
0.0000 0.9333 0.5000
0.5015 0.1278 0.5009
0.5015 0.8722 0.0009
0.0068 0.3425 0.0026
0.0068 0.6575 0.5026
```

Values from the calculation:
E_form: 4.7 kcal/mol of atoms
symmetry: No. 7

---

No. 5
The following is a DFT calculation (PBE-GGA) of a geometry-optimized BeAg3Bi structure.

Cell and atoms, written as POSCAR:
```
BeAg3Bi
1.0
5.4453 0.0000 0.0000
0.0000 5.4453 0.0000
0.0000 0.0000 5.4453
Be Ag Bi
1 3 1
Direct
0.0000 0.0000 0.0000
0.0000 0.5000 0.5000
0.5000 0.0000 0.5000
0.5000 0.5000 0.0000
0.5000 0.5000 0.5000
```

Values from the calculation:
E_form: 24.3 kcal/mol of atoms
ΔE to the lowest computed polymorph: 770 meV per atom
symmetry: No. 221

---

No. 6
The following is a DFT calculation (PBE-GGA) of a geometry-optimized BeAgBi structure.

Cell and atoms, written as POSCAR:
```
BeAgBi
1.0
3.1500 0.0000 0.0000
0.0000 3.1552 0.0000
0.0115 1.4843 11.9139
Be Ag Bi
2 2 2
Direct
0.0000 0.0000 0.0000
0.5000 0.4589 0.0935
0.4989 0.5515 0.8910
0.9983 0.9064 0.2025
0.4939 0.3069 0.4022
0.9974 0.1468 0.6913
```

Values from the calculation:
E_form: 4.9 kcal/mol of atoms
symmetry: No. 1

---

No. 7
The following is a DFT calculation (PBE-GGA) of a geometry-optimized BeAg2Bi2 structure.

Cell and atoms, written as POSCAR:
```
BeAg2Bi2
1.0
6.4877 0.0000 0.0000
0.0000 6.4877 0.0000
0.0000 0.0000 5.3936
Be Ag Bi
2 4 4
Direct
0.0000 0.0000 0.0000
0.5000 0.5000 0.0000
0.1640 0.3360 0.0000
0.3360 0.8360 0.0000
0.6640 0.1640 0.0000
0.8360 0.6640 0.0000
0.1897 0.6897 0.5000
0.3103 0.1897 0.5000
0.6897 0.8103 0.5000
0.8103 0.3103 0.5000
```

Values from the calculation:
E_form: 8.3 kcal/mol of atoms
symmetry: No. 127

---

No. 8
The following is a DFT calculation (PBE-GGA) of a geometry-optimized BeAgBi structure.

Cell and atoms, written as POSCAR:
```
BeAgBi
1.0
9.3690 0.0000 0.0000
0.0000 4.2512 0.0000
0.0000 0.0000 6.1706
Be Ag Bi
4 4 4
Direct
0.1001 0.2500 0.2482
0.3999 0.7500 0.7482
0.6001 0.2500 0.2518
0.8999 0.7500 0.7518
0.1025 0.7500 0.0158
0.3975 0.2500 0.5158
0.6025 0.7500 0.4842
0.8975 0.2500 0.9842
0.1512 0.7500 0.5115
0.3488 0.2500 0.0115
0.6512 0.7500 0.9885
0.8488 0.2500 0.4885
```

Values from the calculation:
E_form: 6.8 kcal/mol of atoms
symmetry: No. 62

---

No. 9
The following is a DFT calculation (PBE-GGA) of a geometry-optimized BeAg3Bi structure.

Cell and atoms, written as POSCAR:
```
BeAg3Bi
1.0
4.6081 0.0000 0.0000
0.0000 4.6081 0.0000
0.0000 0.0000 4.6081
Be Ag Bi
1 3 1
Direct
0.0000 0.0000 0.0000
0.0000 0.0000 0.5000
0.0000 0.5000 0.0000
0.5000 0.0000 0.0000
0.5000 0.5000 0.5000
```

Values from the calculation:
E_form: 6.6 kcal/mol of atoms
ΔE to the lowest computed polymorph: 0 meV per atom
symmetry: No. 221

---

No. 10
The following is a DFT calculation (PBE-GGA) of a geometry-optimized BeAgBi structure.

Cell and atoms, written as POSCAR:
```
BeAgBi
1.0
3.4428 0.0000 0.0000
1.7037 4.3653 0.0000
1.6024 1.1466 8.2909
Be Ag Bi
2 2 2
Direct
0.1026 0.4009 0.3838
0.8974 0.5991 0.6162
0.3943 0.8061 0.3996
0.6057 0.1939 0.6004
0.2203 0.7462 0.8402
0.7797 0.2538 0.1598
```

Values from the calculation:
E_form: 5.8 kcal/mol of atoms
symmetry: No. 2

---

No. 11
The following is a DFT calculation (PBE-GGA) of a geometry-optimized BeAgBi structure.

Cell and atoms, written as POSCAR:
```
BeAgBi
1.0
7.6184 0.0000 0.0000
0.0000 3.8904 0.0000
0.0000 0.0000 8.5467
Be Ag Bi
4 4 4
Direct
0.0555 0.2500 0.0446
0.4445 0.7500 0.5446
0.5555 0.2500 0.4554
0.9445 0.7500 0.9554
0.0037 0.7500 0.2369
0.4963 0.2500 0.7369
0.5037 0.7500 0.2631
0.9963 0.2500 0.7631
0.2110 0.2500 0.4697
0.2890 0.7500 0.9697
0.7110 0.2500 0.0303
0.7890 0.7500 0.5303
```

Values from the calculation:
E_form: 7.0 kcal/mol of atoms
symmetry: No. 62

---

No. 12
The following is a DFT calculation (PBE-GGA) of a geometry-optimized BeAgBi2Br structure.

Cell and atoms, written as POSCAR:
```
BeAgBi2Br
1.0
5.2095 0.0000 0.0000
0.0000 5.2095 0.0000
0.0000 0.0000 4.7462
Be Ag Bi Br
1 1 2 1
Direct
0.0000 0.0000 0.0000
0.5000 0.5000 0.5000
0.0000 0.5000 0.0000
0.5000 0.0000 0.0000
0.0000 0.0000 0.5000
```

Values from the calculation:
electronic total energy: -13.79 eV for the cell shown
symmetry: No. 123